No. 1
Sc2PaAl | PBE | optimized geometry

Output
Distance to the lowest polymorph of the same formula in meV/atom: 68
Calculated formation energy in eV/atom: -0.1017
SG: R3m
Calculated density in Mg/m³: 6.5
Volume in Å³/f.u.: 89.3
Fermi-level density of states in states/eV/cell: 17.04

Unit cell a=3.184 b=3.184 c=30.489 alpha=90.00 beta=90.00 gamma=120.00
Element x y z (fractional)
Sc1 0.000 0.000 0.000
Sc2 0.000 0.000 0.178
Sc3 0.333 0.667 0.667
Sc4 0.333 0.667 0.844
Sc5 0.667 0.333 0.333
Sc6 0.667 0.333 0.511
Pa1 0.000 0.000 0.755
Pa2 0.333 0.667 0.422
Pa3 0.667 0.333 0.089
Al1 0.000 0.000 0.589
Al2 0.333 0.667 0.256
Al3 0.667 0.333 0.923

---

No. 2
Pm3Pr3TmS8 | PBE | optimized geometry

Output
Energy relative to the elements, uncorrected in eV/atom: -2.052
SG: R-3m
Calculated density in Mg/m³: 5.7
Volume in Å³/f.u.: 375.9
Fermi-level density of states in states/eV/cell: 6.80

Unit cell a=8.119 b=8.119 c=8.119 alpha=59.70 beta=59.70 gamma=59.70
Element x y z (fractional)
Pm1 0.000 0.500 0.500
Pm2 0.500 0.000 0.500
Pm3 0.500 0.500 0.000
Pr1 0.000 0.000 0.500
Pr2 0.000 0.500 0.000
Pr3 0.500 0.000 0.000
Tm1 0.000 0.000 0.000
S1 0.240 0.240 0.756
S2 0.240 0.756 0.240
S3 0.244 0.760 0.760
S4 0.252 0.252 0.252
S5 0.748 0.748 0.748
S6 0.756 0.240 0.240
S7 0.760 0.244 0.760
S8 0.760 0.760 0.244

---

No. 3
Ac2HgRh4Pb3 | PBE | optimized geometry

Output
Calculated formation energy in eV/atom: -0.3764
SG: P-4m2
Calculated density in Mg/m³: 11.6
Volume in Å³/f.u.: 240.9
Fermi-level density of states in states/eV/cell: 6.85

Unit cell a=4.535 b=4.535 c=11.714 alpha=90.00 beta=90.00 gamma=90.00
Element x y z (fractional)
Ac1 0.000 0.500 0.245
Ac2 0.500 0.000 0.755
Hg1 0.500 0.500 0.000
Rh1 0.000 0.000 0.500
Rh2 0.000 0.500 0.855
Rh3 0.500 0.000 0.145
Rh4 0.500 0.500 0.500
Pb1 0.000 0.000 0.000
Pb2 0.000 0.500 0.625
Pb3 0.500 0.000 0.375

---

No. 4
SnBiH2 | PBE | optimized geometry

Output
Distance to the lowest polymorph of the same formula in meV/atom: 151
SG: I-42d
Calculated density in Mg/m³: 7.6
Volume in Å³/f.u.: 71.7
Fermi-level density of states in states/eV/cell: 4.18

Unit cell a=4.448 b=4.448 c=14.496 alpha=90.00 beta=90.00 gamma=90.00
Element x y z (fractional)
Sn1 0.000 0.000 0.000
Sn2 0.000 0.500 0.250
Sn3 0.500 0.000 0.750
Sn4 0.500 0.500 0.500
Bi1 0.000 0.000 0.500
Bi2 0.000 0.500 0.750
Bi3 0.500 0.000 0.250
Bi4 0.500 0.500 0.000
H1 0.245 0.250 0.125
H2 0.250 0.745 0.375
H3 0.250 0.755 0.875
H4 0.255 0.250 0.625
H5 0.745 0.750 0.625
H6 0.750 0.245 0.875
H7 0.750 0.255 0.375
H8 0.755 0.750 0.125

---

No. 5
Ta3Nb2Mo | PBE | optimized geometry

Output
Distance to the lowest polymorph of the same formula in meV/atom: 6
Calculated formation energy in eV/atom: -0.0648
SG: C2/c
Calculated density in Mg/m³: 12.8
Volume in Å³/f.u.: 106.7
Fermi-level density of states in states/eV/cell: 17.37

Unit cell a=8.021 b=8.021 c=4.644 alpha=106.59 beta=106.59 gamma=119.73
Element x y z (fractional)
Ta1 0.000 0.500 0.000
Ta2 0.160 0.321 0.491
Ta3 0.321 0.160 0.991
Ta4 0.500 0.000 0.500
Ta5 0.679 0.840 0.009
Ta6 0.840 0.679 0.509
Nb1 0.253 0.747 0.750
Nb2 0.418 0.582 0.250
Nb3 0.582 0.418 0.750
Nb4 0.747 0.253 0.250
Mo1 0.084 0.916 0.250
Mo2 0.916 0.084 0.750

---

No. 6
TbPm7Sn2 | PBE | optimized geometry

Output
Calculated formation energy in eV/atom: 0.1675
SG: Cmmm
Calculated density in Mg/m³: 5.7
Volume in Å³/f.u.: 409.3
Fermi-level density of states in states/eV/cell: 20.94

Unit cell a=9.118 b=9.118 c=5.620 alpha=90.00 beta=90.00 gamma=118.82
Element x y z (fractional)
Tb1 0.000 0.000 0.000
Pm1 0.058 0.304 0.500
Pm2 0.229 0.771 0.000
Pm3 0.304 0.058 0.500
Pm4 0.500 0.500 0.500
Pm5 0.696 0.942 0.500
Pm6 0.771 0.229 0.000
Pm7 0.942 0.696 0.500
Sn1 0.303 0.697 0.500
Sn2 0.697 0.303 0.500

---

No. 7
NiMo2S | PBE | optimized geometry

Output
Energy relative to the elements, uncorrected in eV/atom: 0.683
SG: I-42d
Calculated density in Mg/m³: 6.2
Volume in Å³/f.u.: 75.5
Fermi-level density of states in states/eV/cell: 22.13

Unit cell a=5.317 b=5.317 c=10.684 alpha=90.00 beta=90.00 gamma=90.00
Element x y z (fractional)
Ni1 0.000 0.000 0.000
Ni2 0.000 0.500 0.250
Ni3 0.500 0.000 0.750
Ni4 0.500 0.500 0.500
Mo1 0.249 0.250 0.125
Mo2 0.250 0.749 0.375
Mo3 0.250 0.751 0.875
Mo4 0.251 0.250 0.625
Mo5 0.749 0.750 0.625
Mo6 0.750 0.249 0.875
Mo7 0.750 0.251 0.375
Mo8 0.751 0.750 0.125
S1 0.000 0.000 0.500
S2 0.000 0.500 0.750
S3 0.500 0.000 0.250
S4 0.500 0.500 0.000

---

No. 8
Ac2Tb2Sm7 | PBE | optimized geometry

Output
Distance to the lowest polymorph of the same formula in meV/atom: 0
Calculated formation energy in eV/atom: 0.3245
SG: C2/m
Calculated density in Mg/m³: 7.3
Volume in Å³/f.u.: 414.4
Fermi-level density of states in states/eV/cell: 16.65

Unit cell a=6.780 b=6.780 c=9.489 alpha=102.89 beta=102.89 gamma=86.58
Element x y z (fractional)
Ac1 0.124 0.124 0.400
Ac2 0.876 0.876 0.600
Tb1 0.161 0.839 0.000
Tb2 0.839 0.161 0.000
Sm1 0.163 0.548 0.221
Sm2 0.341 0.341 0.866
Sm3 0.452 0.837 0.779
Sm4 0.500 0.500 0.500
Sm5 0.548 0.163 0.221
Sm6 0.659 0.659 0.134
Sm7 0.837 0.452 0.779

---

No. 9
HoAg8Au2 | PBE | optimized geometry

Output
Calculated formation energy in eV/atom: 0.0852
SG: C2/m
Calculated density in Mg/m³: 9.9
Volume in Å³/f.u.: 239.1
Fermi-level density of states in states/eV/cell: 3.65

Unit cell a=7.546 b=7.546 c=4.894 alpha=101.15 beta=101.15 gamma=61.73
Element x y z (fractional)
Ho1 0.000 0.000 0.000
Ag1 0.238 0.238 0.129
Ag2 0.252 0.612 0.229
Ag3 0.360 0.360 0.695
Ag4 0.388 0.748 0.771
Ag5 0.612 0.252 0.229
Ag6 0.640 0.640 0.305
Ag7 0.748 0.388 0.771
Ag8 0.762 0.762 0.871
Au1 0.131 0.131 0.566
Au2 0.869 0.869 0.434

---

No. 10
Pr4Nd15Cd | PBE | optimized geometry

Output
Calculated formation energy in eV/atom: -0.0057
SG: P4/mmm
Calculated density in Mg/m³: 6.8
Volume in Å³/f.u.: 693.2
Fermi-level density of states in states/eV/cell: 28.74

Unit cell a=5.164 b=5.164 c=25.993 alpha=90.00 beta=90.00 gamma=90.00
Element x y z (fractional)
Pr1 0.000 0.000 0.101
Pr2 0.000 0.000 0.304
Pr3 0.000 0.000 0.696
Pr4 0.000 0.000 0.899
Nd1 0.000 0.500 0.000
Nd2 0.000 0.500 0.203
Nd3 0.000 0.500 0.405
Nd4 0.000 0.500 0.595
Nd5 0.000 0.500 0.797
Nd6 0.500 0.000 0.000
Nd7 0.500 0.000 0.203
Nd8 0.500 0.000 0.405
Nd9 0.500 0.000 0.595
Nd10 0.500 0.000 0.797
Nd11 0.500 0.500 0.102
Nd12 0.500 0.500 0.305
Nd13 0.500 0.500 0.500
Nd14 0.500 0.500 0.695
Nd15 0.500 0.500 0.898
Cd1 0.000 0.000 0.500

---

No. 11
PuZnP2O8 | PBE | optimized geometry

Output
Energy relative to the elements, uncorrected in eV/atom: -2.245
SG: P-3
Calculated density in Mg/m³: 5.4
Volume in Å³/f.u.: 152.2
Fermi-level density of states in states/eV/cell: 7.80

Unit cell a=5.127 b=5.127 c=6.685 alpha=90.00 beta=90.00 gamma=120.00
Element x y z (fractional)
Pu1 0.000 0.000 0.000
Zn1 0.000 0.000 0.500
P1 0.333 0.667 0.790
P2 0.667 0.333 0.210
O1 0.166 0.335 0.720
O2 0.169 0.834 0.720
O3 0.333 0.667 0.021
O4 0.335 0.169 0.280
O5 0.665 0.831 0.720
O6 0.667 0.333 0.979
O7 0.831 0.166 0.280
O8 0.834 0.665 0.280

---

No. 12
Mn2CoPt | PBE | optimized geometry

Output
Calculated formation energy in eV/atom: -0.0043
SG: P4mm
Calculated density in Mg/m³: 12.0
Volume in Å³/f.u.: 50.3
Fermi-level density of states in states/eV/cell: 5.52

Unit cell a=2.629 b=2.629 c=7.271 alpha=90.00 beta=90.00 gamma=90.00
Element x y z (fractional)
Mn1 0.000 0.000 0.000
Mn2 0.500 0.500 0.241
Co1 0.500 0.500 0.777
Pt1 0.000 0.000 0.512

---

No. 13
Sc3BeO | PBE | optimized geometry

Output
Energy relative to the elements, uncorrected in eV/atom: -1.213
Distance to the lowest polymorph of the same formula in meV/atom: 0
SG: Pm-3m
Calculated density in Mg/m³: 3.3
Volume in Å³/f.u.: 80.8
Fermi-level density of states in states/eV/cell: 2.18

Unit cell a=4.322 b=4.322 c=4.322 alpha=90.00 beta=90.00 gamma=90.00
Element x y z (fractional)
Sc1 0.000 0.000 0.500
Sc2 0.000 0.500 0.000
Sc3 0.500 0.000 0.000
Be1 0.500 0.500 0.500
O1 0.000 0.000 0.000

---

No. 14
TbCo5C2 | PBE | optimized geometry

Output
Calculated formation energy in eV/atom: 0.0127
SG: Immm
Calculated density in Mg/m³: 9.3
Volume in Å³/f.u.: 85.2
Fermi-level density of states in states/eV/cell: 18.47

Unit cell a=3.516 b=5.994 c=8.085 alpha=90.00 beta=90.00 gamma=90.00
Element x y z (fractional)
Tb1 0.000 0.000 0.000
Tb2 0.500 0.500 0.500
Co1 0.000 0.196 0.341
Co2 0.000 0.196 0.659
Co3 0.000 0.500 0.000
Co4 0.000 0.804 0.341
Co5 0.000 0.804 0.659
Co6 0.500 0.000 0.500
Co7 0.500 0.304 0.159
Co8 0.500 0.304 0.841
Co9 0.500 0.696 0.159
Co10 0.500 0.696 0.841
C1 0.000 0.500 0.239
C2 0.000 0.500 0.761
C3 0.500 0.000 0.261
C4 0.500 0.000 0.739

---

No. 15
NbReB | PBE | optimized geometry

Output
Distance to the lowest polymorph of the same formula in meV/atom: 458
Calculated formation energy in eV/atom: -0.0555
SG: C2/m
Calculated density in Mg/m³: 11.9
Volume in Å³/f.u.: 40.6
Fermi-level density of states in states/eV/cell: 6.25

Unit cell a=8.688 b=2.947 c=6.660 alpha=90.00 beta=107.84 gamma=90.00
Element x y z (fractional)
Nb1 0.171 0.000 0.311
Nb2 0.329 0.500 0.689
Nb3 0.671 0.500 0.311
Nb4 0.829 0.000 0.689
Re1 0.113 0.500 0.902
Re2 0.387 0.000 0.098
Re3 0.613 0.000 0.902
Re4 0.887 0.500 0.098
B1 0.083 0.000 0.624
B2 0.417 0.500 0.376
B3 0.583 0.500 0.624
B4 0.917 0.000 0.376

---

No. 16
KLaCu2 | PBE | optimized geometry

Output
Distance to the lowest polymorph of the same formula in meV/atom: 360
Calculated formation energy in eV/atom: 0.4437
SG: F-43m
Calculated density in Mg/m³: 5.7
Volume in Å³/f.u.: 89.1
Fermi-level density of states in states/eV/cell: 13.68

Unit cell a=7.089 b=7.089 c=7.089 alpha=90.00 beta=90.00 gamma=90.00
Element x y z (fractional)
K1 0.000 0.000 0.000
K2 0.000 0.500 0.500
K3 0.500 0.000 0.500
K4 0.500 0.500 0.000
La1 0.250 0.250 0.250
La2 0.250 0.750 0.750
La3 0.750 0.250 0.750
La4 0.750 0.750 0.250
Cu1 0.000 0.000 0.500
Cu2 0.000 0.500 0.000
Cu3 0.250 0.250 0.750
Cu4 0.250 0.750 0.250
Cu5 0.500 0.000 0.000
Cu6 0.500 0.500 0.500
Cu7 0.750 0.250 0.250
Cu8 0.750 0.750 0.750

---

No. 17
Na2NdHoTe4 | PBE | optimized geometry

Output
Energy relative to the elements, uncorrected in eV/atom: -1.316
SG: P2/m
Calculated density in Mg/m³: 5.5
Volume in Å³/f.u.: 263.5

Unit cell a=7.764 b=4.483 c=8.000 alpha=90.00 beta=108.86 gamma=90.00
Element x y z (fractional)
Na1 0.000 0.000 0.000
Na2 0.500 0.500 0.000
Nd1 0.000 0.500 0.500
Ho1 0.500 0.000 0.500
Te1 0.253 0.000 0.737
Te2 0.263 0.500 0.267
Te3 0.737 0.500 0.733
Te4 0.747 0.000 0.263

---

No. 18
YbZnRh2 | PBE | optimized geometry

Output
Calculated formation energy in eV/atom: -0.5208
SG: Fm-3m
Calculated density in Mg/m³: 11.9
Volume in Å³/f.u.: 62.2
Fermi-level density of states in states/eV/cell: 8.29

Unit cell a=6.291 b=6.291 c=6.291 alpha=90.00 beta=90.00 gamma=90.00
Element x y z (fractional)
Yb1 0.000 0.000 0.000
Yb2 0.000 0.500 0.500
Yb3 0.500 0.000 0.500
Yb4 0.500 0.500 0.000
Zn1 0.000 0.000 0.500
Zn2 0.000 0.500 0.000
Zn3 0.500 0.000 0.000
Zn4 0.500 0.500 0.500
Rh1 0.250 0.250 0.250
Rh2 0.250 0.250 0.750
Rh3 0.250 0.750 0.250
Rh4 0.250 0.750 0.750
Rh5 0.750 0.250 0.250
Rh6 0.750 0.250 0.750
Rh7 0.750 0.750 0.250
Rh8 0.750 0.750 0.750

---

No. 19
TlPAu | PBE | optimized geometry

Output
Distance to the lowest polymorph of the same formula in meV/atom: 257
Calculated formation energy in eV/atom: 0.1936
SG: Pm
Calculated density in Mg/m³: 9.9
Volume in Å³/f.u.: 72.4
Fermi-level density of states in states/eV/cell: 1.27

Unit cell a=3.463 b=3.749 c=5.601 alpha=90.00 beta=95.22 gamma=90.00
Element x y z (fractional)
Tl1 0.000 0.000 0.000
P1 0.413 0.000 0.531
Au1 0.900 0.500 0.489

---

No. 20
MgAlIn2 | PBE | optimized geometry

Output
Calculated formation energy in eV/atom: 0.0455
SG: R-3m
Calculated density in Mg/m³: 5.1
Volume in Å³/f.u.: 90.9
Fermi-level density of states in states/eV/cell: 4.07

Unit cell a=3.217 b=3.217 c=30.415 alpha=90.00 beta=90.00 gamma=120.00
Element x y z (fractional)
Mg1 0.000 0.000 0.000
Mg2 0.333 0.667 0.667
Mg3 0.667 0.333 0.333
Al1 0.000 0.000 0.500
Al2 0.333 0.667 0.167
Al3 0.667 0.333 0.833
In1 0.000 0.000 0.247
In2 0.000 0.000 0.753
In3 0.333 0.667 0.419
In4 0.333 0.667 0.914
In5 0.667 0.333 0.086
In6 0.667 0.333 0.581

---

No. 21
Na2Li3Sb4Au | PBE | optimized geometry

Output
Energy relative to the elements, uncorrected in eV/atom: -0.364
SG: P-4m2
Calculated density in Mg/m³: 5.1
Volume in Å³/f.u.: 245.2
Fermi-level density of states in states/eV/cell: 3.33

Unit cell a=4.378 b=4.378 c=12.792 alpha=90.00 beta=90.00 gamma=90.00
Element x y z (fractional)
Na1 0.000 0.500 0.220
Na2 0.500 0.000 0.780
Li1 0.000 0.000 0.000
Li2 0.000 0.500 0.648
Li3 0.500 0.000 0.352
Sb1 0.000 0.000 0.500
Sb2 0.000 0.500 0.862
Sb3 0.500 0.000 0.138
Sb4 0.500 0.500 0.500
Au1 0.500 0.500 0.000

---

No. 22
Ta3CuN | PBE | optimized geometry

Output
Energy relative to the elements, uncorrected in eV/atom: -0.280
SG: Pm-3m
Calculated density in Mg/m³: 13.9
Volume in Å³/f.u.: 74.4
Fermi-level density of states in states/eV/cell: 5.09

Unit cell a=4.205 b=4.205 c=4.205 alpha=90.00 beta=90.00 gamma=90.00
Element x y z (fractional)
Ta1 0.000 0.000 0.500
Ta2 0.000 0.500 0.000
Ta3 0.500 0.000 0.000
Cu1 0.500 0.500 0.500
N1 0.000 0.000 0.000

---

No. 23
Nd9Ho2Th | PBE | optimized geometry

Output
Calculated formation energy in eV/atom: 0.0322
SG: P4/mmm
Calculated density in Mg/m³: 7.5
Volume in Å³/f.u.: 411.3
Fermi-level density of states in states/eV/cell: 19.77

Unit cell a=5.157 b=5.157 c=15.467 alpha=90.00 beta=90.00 gamma=90.00
Element x y z (fractional)
Nd1 0.000 0.000 0.000
Nd2 0.000 0.000 0.336
Nd3 0.000 0.000 0.664
Nd4 0.000 0.500 0.165
Nd5 0.000 0.500 0.500
Nd6 0.000 0.500 0.835
Nd7 0.500 0.000 0.165
Nd8 0.500 0.000 0.500
Nd9 0.500 0.000 0.835
Ho1 0.500 0.500 0.334
Ho2 0.500 0.500 0.666
Th1 0.500 0.500 0.000

---

No. 24
CaRe2Si | PBE | optimized geometry

Output
Energy relative to the elements, uncorrected in eV/atom: 0.437
SG: R-3m
Calculated density in Mg/m³: 11.0
Volume in Å³/f.u.: 66.7
Fermi-level density of states in states/eV/cell: 6.51

Unit cell a=2.949 b=2.949 c=26.554 alpha=90.00 beta=90.00 gamma=120.00
Element x y z (fractional)
Ca1 0.000 0.000 0.000
Ca2 0.333 0.667 0.667
Ca3 0.667 0.333 0.333
Re1 0.000 0.000 0.237
Re2 0.000 0.000 0.763
Re3 0.333 0.667 0.430
Re4 0.333 0.667 0.903
Re5 0.667 0.333 0.097
Re6 0.667 0.333 0.570
Si1 0.000 0.000 0.500
Si2 0.333 0.667 0.167
Si3 0.667 0.333 0.833